# ScSeI

ScSeI after structural relaxation (PBE, Alexandria via LeMat-Bulk).

a = 7.4858 Å, b = 3.9983 Å, c = 6.9244 Å
α = 90.00°, β = 107.44°, γ = 90.00°
Fractional positions:
Se: 0.4326 0.0000 0.5412
Sc: 0.2533 0.5000 0.3165
I: 0.9796 0.0000 0.0612
Se: 0.4326 0.5000 0.0412
I: 0.9796 0.5000 0.5612
Sc: 0.2533 0.0000 0.8165

E_tot: -31.6 eV for the cell shown
Energy relative to the elements, uncorrected: -142.2 kJ per mole of atoms
Crystal system: monoclinic
Symmetry: Cm, No. 8

***

# CeMg2Al

CeMg2Al after structural relaxation (PBE, Alexandria via LeMat-Bulk).

a = 3.0395 Å, b = 3.0395 Å, c = 11.3881 Å
α = 82.33°, β = 82.33°, γ = 60.00°
Site moments in Bohr magnetons follow the coordinates.
Fractional positions:
Mg: 0.9045 0.9045 0.2864  0.00
Al: 0.5000 0.5000 0.5000  0.00
Ce: 0.0000 0.0000 0.0000  0.27
Mg: 0.0955 0.0955 0.7136  0.00

E_tot: -12.3 eV for the cell shown
Energy of formation: 0.55 eV per formula unit
Crystal system: trigonal
Symmetry: R-3m, No. 166

***

# Ba2NpSnO6

Ba2NpSnO6 after structural relaxation (PBE, Alexandria via LeMat-Bulk).

a = 6.1077 Å, b = 6.1074 Å, c = 8.6365 Å
α = 90.00°, β = 90.00°, γ = 90.00°
Site moments in Bohr magnetons follow the coordinates.
Fractional positions:
O: 0.2562 0.0066 0.0000  -0.02
Ba: 0.0000 0.2499 0.2500  0.01
O: 0.2438 0.9934 0.5000  -0.02
Np: 0.5000 0.2498 0.5000  3.04
O: 0.7436 0.4940 0.0000  -0.02
O: 0.5000 0.2497 0.2437  -0.03
Sn: 0.0000 0.7499 0.5000  0.01
O: 0.5000 0.2497 0.7563  -0.03
Np: 0.0000 0.7502 0.0000  3.04
O: 0.0000 0.7503 0.7437  -0.03
Ba: 0.0000 0.2499 0.7500  0.01
O: 0.7564 0.5060 0.5000  -0.02
O: 0.7438 0.0066 0.0000  -0.02
Sn: 0.5000 0.2501 0.0000  0.01
O: 0.7562 0.9934 0.5000  -0.02
O: 0.0000 0.7503 0.2563  -0.03
Ba: 0.5000 0.7501 0.7500  0.01
O: 0.2436 0.5060 0.5000  -0.02
O: 0.2564 0.4940 0.0000  -0.02
Ba: 0.5000 0.7501 0.2500  0.01

E_tot: -152.4 eV for the cell shown
Energy relative to the elements, uncorrected: -247.7 kJ per mole of atoms
Crystal system: cubic
Symmetry: Fm-3m, No. 225

***

# Ca3ZnPb2

Ca3ZnPb2 after structural relaxation (PBE, Alexandria via LeMat-Bulk).

a = 4.6222 Å, b = 12.3673 Å, c = 12.7442 Å
α = 90.00°, β = 90.00°, γ = 90.00°
Fractional positions:
Pb: 0.2500 0.5012 0.8084
Zn: 0.7500 0.6290 0.3714
Ca: 0.2500 0.7998 0.7175
Pb: 0.7500 0.4988 0.1916
Zn: 0.2500 0.3710 0.6286
Pb: 0.2500 0.6887 0.4841
Pb: 0.2500 0.8113 0.9841
Ca: 0.2500 0.1212 0.5516
Pb: 0.7500 0.3113 0.5159
Pb: 0.2500 0.9988 0.3084
Ca: 0.7500 0.6212 0.9484
Ca: 0.7500 0.8788 0.4484
Ca: 0.2500 0.3788 0.0516
Ca: 0.2500 0.0594 0.8760
Ca: 0.7500 0.2998 0.7825
Pb: 0.7500 0.1887 0.0159
Ca: 0.7500 0.9406 0.1240
Ca: 0.2500 0.4406 0.3760
Zn: 0.7500 0.8710 0.8714
Ca: 0.2500 0.7002 0.2175
Ca: 0.7500 0.5594 0.6240
Ca: 0.7500 0.2002 0.2825
Zn: 0.2500 0.1290 0.1286
Pb: 0.7500 0.0012 0.6916

E_tot: -69.6 eV for the cell shown
Energy of formation: -2.70 eV per formula unit
Crystal system: orthorhombic
Symmetry: Pnma, No. 62

***

Magnetization for every record listed, in sequence, given in μB/cell: 0.00 0.33 6.00 0.00.
DOS at the Fermi energy for every record listed, in sequence, given in states/eV/atom: 0.0000 1.1988 1.2783 0.3432.